# Sm2DyGa3Pt4

A relaxed Sm2DyGa3Pt4 crystal (PBE, Alexandria).

```
data_Sm2DyGa3Pt4
_chemical_formula_sum 'Sm2 Dy1 Ga3 Pt4'
_symmetry_space_group_name_H-M 'P 1'
_symmetry_Int_Tables_number 1
_symmetry_space_group_name_Hall 'P 1'
_cell_length_a 4.2184
_cell_length_b 4.2184
_cell_length_c 11.4995
_cell_angle_alpha 90.00
_cell_angle_beta 90.00
_cell_angle_gamma 90.00
loop_
_atom_site_label
_atom_site_type_symbol
_atom_site_fract_x
_atom_site_fract_y
_atom_site_fract_z
Sm1 Sm 0.0000 0.5000 0.2268
Sm2 Sm 0.5000 0.0000 0.7732
Dy1 Dy 0.0000 0.0000 0.5000
Ga1 Ga 0.0000 0.5000 0.8749
Ga2 Ga 0.5000 0.0000 0.1251
Ga3 Ga 0.5000 0.5000 0.5000
Pt1 Pt 0.0000 0.0000 0.0000
Pt2 Pt 0.0000 0.5000 0.6583
Pt3 Pt 0.5000 0.0000 0.3417
Pt4 Pt 0.5000 0.5000 0.0000
```

Output
Magnetization   0.00 μB per cell
Density   11.788 Mg/m³
Calculated total energy   -0.210 hartree per atom
V   205 Å³/cell